The following is a DFT calculation (PBE) of a relaxed structure of TcHg2.

Unit cell a=5.245 b=5.245 c=4.801 alpha=90.00 beta=90.00 gamma=120.00
Positions (direct):
Tc: 0.333 0.667 0.000
Tc: 0.667 0.333 0.000
Hg: 0.000 0.000 0.000
Hg: 0.000 0.635 0.500
Hg: 0.365 0.365 0.500
Hg: 0.635 0.000 0.500

Its final energy is -3.041 eV/atom. The calculation puts the polymorph energy (0 for the lowest one) at 347 meV/atom.